(i)
# Mn2Pd4Pt, relaxed, DFT PBE-GGA
# calculated volume = 15.80 Å³/atom
data_Mn2Pd4Pt
_chemical_formula_sum 'Mn4 Pd8 Pt2'
_cell_length_a 6.633
_cell_length_b 5.380
_cell_length_c 6.910
_cell_angle_alpha 90.00
_cell_angle_beta 116.25
_cell_angle_gamma 90.00
_space_group_name_H-M_alt 'P 1 21/m 1'
_space_group_IT_number 11
loop_
_space_group_symop_operation_xyz
'x,y,z'
'-x,-y,-z'
'-x,y+1/2,-z'
'x,-y+1/2,z'
loop_
_atom_site_label
_atom_site_type_symbol
_atom_site_fract_x
_atom_site_fract_y
_atom_site_fract_z
_atom_site_occupancy
Mn1 Mn 0.067 0.250 0.363 1
Mn2 Mn 0.258 0.750 0.078 1
Pd1 Pd 0.216 0.250 0.067 1
Pd2 Pd 0.340 0.503 0.768 1
Pd3 Pd 0.490 0.250 0.492 1
Pt1 Pt 0.070 0.750 0.346 1

(ii)
# Mn2Pd4Pt, relaxed, DFT PBE-GGA
# calculated volume = 16.09 Å³/atom
data_Mn2Pd4Pt
_chemical_formula_sum 'Mn4 Pd8 Pt2'
_cell_length_a 6.050
_cell_length_b 9.833
_cell_length_c 3.786
_cell_angle_alpha 90.00
_cell_angle_beta 90.00
_cell_angle_gamma 90.00
_space_group_name_H-M_alt 'P b a m'
_space_group_IT_number 55
loop_
_space_group_symop_operation_xyz
'x,y,z'
'-x,-y,-z'
'-x,-y,z'
'x,y,-z'
'x+1/2,-y+1/2,-z'
'-x+1/2,y+1/2,z'
'-x+1/2,y+1/2,-z'
'x+1/2,-y+1/2,z'
loop_
_atom_site_label
_atom_site_type_symbol
_atom_site_fract_x
_atom_site_fract_y
_atom_site_fract_z
_atom_site_occupancy
Mn1 Mn 0.210 0.055 0.000 1
Pd1 Pd 0.084 0.307 0.000 1
Pd2 Pd 0.089 0.866 0.500 1
Pt1 Pt 0.000 0.500 0.500 1

(i) is the most stable structure; the next one sits 0.046 eV/atom above it.

(i)
# MnPd5Pt2, relaxed, DFT PBE-GGA
# calculated volume = 15.27 Å³/atom
data_MnPd5Pt2
_chemical_formula_sum 'Mn2 Pd10 Pt4'
_cell_length_a 5.576
_cell_length_b 11.200
_cell_length_c 3.913
_cell_angle_alpha 90.00
_cell_angle_beta 90.00
_cell_angle_gamma 90.00
_space_group_name_H-M_alt 'P b a m'
_space_group_IT_number 55
loop_
_space_group_symop_operation_xyz
'x,y,z'
'-x,-y,-z'
'-x,-y,z'
'x,y,-z'
'x+1/2,-y+1/2,-z'
'-x+1/2,y+1/2,z'
'-x+1/2,y+1/2,-z'
'x+1/2,-y+1/2,z'
loop_
_atom_site_label
_atom_site_type_symbol
_atom_site_fract_x
_atom_site_fract_y
_atom_site_fract_z
_atom_site_occupancy
Mn1 Mn 0.000 0.000 0.000 1
Pd1 Pd 0.000 0.500 0.000 1
Pd2 Pd 0.003 0.246 0.000 1
Pd3 Pd 0.247 0.877 0.500 1
Pt1 Pt 0.249 0.123 0.500 1

(ii)
# MnPd5Pt2, relaxed, DFT PBE-GGA
# calculated volume = 16.06 Å³/atom
data_MnPd5Pt2
_chemical_formula_sum 'Mn2 Pd10 Pt4'
_cell_length_a 4.370
_cell_length_b 9.222
_cell_length_c 6.736
_cell_angle_alpha 90.00
_cell_angle_beta 108.86
_cell_angle_gamma 90.00
_space_group_name_H-M_alt 'P 1 21/m 1'
_space_group_IT_number 11
loop_
_space_group_symop_operation_xyz
'x,y,z'
'-x,-y,-z'
'-x,y+1/2,-z'
'x,-y+1/2,z'
loop_
_atom_site_label
_atom_site_type_symbol
_atom_site_fract_x
_atom_site_fract_y
_atom_site_fract_z
_atom_site_occupancy
Mn1 Mn 0.244 0.250 0.488 1
Pd1 Pd 0.063 0.105 0.127 1
Pd2 Pd 0.397 0.750 0.791 1
Pd3 Pd 0.415 0.094 0.831 1
Pt1 Pt 0.219 0.587 0.439 1

(i) is the most stable structure; the next one sits 0.193 eV/atom above it.

(i)
# MnPdPt3, relaxed, DFT PBE-GGA
# calculated volume = 17.74 Å³/atom
data_MnPdPt3
_chemical_formula_sum 'Mn4 Pd4 Pt12'
_cell_length_a 7.220
_cell_length_b 9.071
_cell_length_c 5.418
_cell_angle_alpha 90.00
_cell_angle_beta 90.00
_cell_angle_gamma 90.00
_space_group_name_H-M_alt 'C m c m'
_space_group_IT_number 63
_space_group_name_Hall '-C 2c 2'
loop_
_atom_site_label
_atom_site_type_symbol
_atom_site_fract_x
_atom_site_fract_y
_atom_site_fract_z
_atom_site_occupancy
Mn1 Mn 0.000 0.249 0.250 1
Pd1 Pd 0.000 0.500 0.000 1
Pt1 Pt 0.000 0.245 0.750 1
Pt2 Pt 0.185 0.007 0.250 1

(ii)
# MnPdPt3, relaxed, DFT PBE-GGA
# calculated volume = 22.50 Å³/atom
data_MnPdPt3
_chemical_formula_sum 'Mn1 Pd1 Pt3'
_cell_length_a 4.827
_cell_length_b 4.827
_cell_length_c 4.827
_cell_angle_alpha 90.00
_cell_angle_beta 90.00
_cell_angle_gamma 90.00
_space_group_name_H-M_alt 'P m -3 m'
_space_group_IT_number 221
_space_group_name_Hall '-P 4 2 3'
loop_
_atom_site_label
_atom_site_type_symbol
_atom_site_fract_x
_atom_site_fract_y
_atom_site_fract_z
_atom_site_occupancy
Mn1 Mn 0.000 0.000 0.000 1
Pd1 Pd 0.500 0.500 0.500 1
Pt1 Pt 0.000 0.500 0.500 1

(iii)
# MnPdPt3, relaxed, DFT PBE-GGA
# calculated volume = 16.53 Å³/atom
data_MnPdPt3
_chemical_formula_sum 'Mn4 Pd4 Pt12'
_cell_length_a 12.668
_cell_length_b 5.257
_cell_length_c 5.099
_cell_angle_alpha 90.00
_cell_angle_beta 103.15
_cell_angle_gamma 90.00
_space_group_name_H-M_alt 'C 1 2/m 1'
_space_group_IT_number 12
loop_
_space_group_symop_operation_xyz
'x,y,z'
'-x,-y,-z'
'-x,y,-z'
'x,-y,z'
'x+1/2,y+1/2,z'
'-x+1/2,-y+1/2,-z'
'-x+1/2,y+1/2,-z'
'x+1/2,-y+1/2,z'
loop_
_atom_site_label
_atom_site_type_symbol
_atom_site_fract_x
_atom_site_fract_y
_atom_site_fract_z
_atom_site_occupancy
Mn1 Mn 0.196 0.000 0.376 1
Pd1 Pd 0.067 0.500 0.288 1
Pt1 Pt 0.000 0.000 0.000 1
Pt2 Pt 0.000 0.000 0.500 1
Pt3 Pt 0.157 0.257 0.821 1

(iv)
# MnPdPt3, relaxed, DFT PBE-GGA
# calculated volume = 18.50 Å³/atom
data_MnPdPt3
_chemical_formula_sum 'Mn1 Pd1 Pt3'
_cell_length_a 4.523
_cell_length_b 4.523
_cell_length_c 4.523
_cell_angle_alpha 90.00
_cell_angle_beta 90.00
_cell_angle_gamma 90.00
_space_group_name_H-M_alt 'P m -3 m'
_space_group_IT_number 221
_space_group_name_Hall '-P 4 2 3'
loop_
_atom_site_label
_atom_site_type_symbol
_atom_site_fract_x
_atom_site_fract_y
_atom_site_fract_z
_atom_site_occupancy
Mn1 Mn 0.000 0.000 0.000 1
Pd1 Pd 0.500 0.500 0.500 1
Pt1 Pt 0.000 0.000 0.500 1

(iii) is the most stable structure; the next one sits 0.197 eV/atom above it.

(i)
# Mn2Pd8Pt, relaxed, DFT PBE-GGA
# calculated volume = 15.23 Å³/atom
data_Mn2Pd8Pt
_chemical_formula_sum 'Mn4 Pd16 Pt2'
_cell_length_a 14.074
_cell_length_b 3.973
_cell_length_c 6.244
_cell_angle_alpha 90.00
_cell_angle_beta 106.30
_cell_angle_gamma 90.00
_space_group_name_H-M_alt 'C 1 2/m 1'
_space_group_IT_number 12
loop_
_space_group_symop_operation_xyz
'x,y,z'
'-x,-y,-z'
'-x,y,-z'
'x,-y,z'
'x+1/2,y+1/2,z'
'-x+1/2,-y+1/2,-z'
'-x+1/2,y+1/2,-z'
'x+1/2,-y+1/2,z'
loop_
_atom_site_label
_atom_site_type_symbol
_atom_site_fract_x
_atom_site_fract_y
_atom_site_fract_z
_atom_site_occupancy
Mn1 Mn 0.224 0.000 0.149 1
Pd1 Pd 0.045 0.000 0.229 1
Pd2 Pd 0.097 0.500 0.958 1
Pd3 Pd 0.143 0.000 0.698 1
Pd4 Pd 0.181 0.500 0.412 1
Pt1 Pt 0.000 0.500 0.500 1

(ii)
# Mn2Pd8Pt, relaxed, DFT PBE-GGA
# calculated volume = 15.69 Å³/atom
data_Mn2Pd8Pt
_chemical_formula_sum 'Mn4 Pd16 Pt2'
_cell_length_a 4.148
_cell_length_b 6.957
_cell_length_c 11.966
_cell_angle_alpha 90.00
_cell_angle_beta 90.00
_cell_angle_gamma 90.00
_space_group_name_H-M_alt 'I m m m'
_space_group_IT_number 71
_space_group_name_Hall '-I 2 2'
loop_
_atom_site_label
_atom_site_type_symbol
_atom_site_fract_x
_atom_site_fract_y
_atom_site_fract_z
_atom_site_occupancy
Mn1 Mn 0.000 0.000 0.193 1
Pd1 Pd 0.000 0.199 0.000 1
Pd2 Pd 0.000 0.280 0.344 1
Pd3 Pd 0.000 0.500 0.154 1
Pt1 Pt 0.000 0.000 0.500 1

(i) is the most stable structure; the next one sits 0.072 eV/atom above it.

(i)
# MnPd2Pt3, relaxed, DFT PBE-GGA
# calculated volume = 15.78 Å³/atom
data_MnPd2Pt3
_chemical_formula_sum 'Mn4 Pd8 Pt12'
_cell_length_a 12.869
_cell_length_b 5.478
_cell_length_c 5.492
_cell_angle_alpha 90.00
_cell_angle_beta 102.03
_cell_angle_gamma 90.00
_space_group_name_H-M_alt 'C 1 2/c 1'
_space_group_IT_number 15
loop_
_space_group_symop_operation_xyz
'x,y,z'
'-x,-y,-z'
'-x,y,-z+1/2'
'x,-y,z+1/2'
'x+1/2,y+1/2,z'
'-x+1/2,-y+1/2,-z'
'-x+1/2,y+1/2,-z+1/2'
'x+1/2,-y+1/2,z+1/2'
loop_
_atom_site_label
_atom_site_type_symbol
_atom_site_fract_x
_atom_site_fract_y
_atom_site_fract_z
_atom_site_occupancy
Mn1 Mn 0.000 0.249 0.250 1
Pd1 Pd 0.161 0.003 0.081 1
Pt1 Pt 0.000 0.241 0.750 1
Pt2 Pt 0.153 0.499 0.576 1

(ii)
# MnPd2Pt3, relaxed, DFT PBE-GGA
# calculated volume = 16.44 Å³/atom
data_MnPd2Pt3
_chemical_formula_sum 'Mn4 Pd8 Pt12'
_cell_length_a 7.953
_cell_length_b 9.440
_cell_length_c 5.255
_cell_angle_alpha 90.00
_cell_angle_beta 90.00
_cell_angle_gamma 90.00
_space_group_name_H-M_alt 'C m c m'
_space_group_IT_number 63
_space_group_name_Hall '-C 2c 2'
loop_
_atom_site_label
_atom_site_type_symbol
_atom_site_fract_x
_atom_site_fract_y
_atom_site_fract_z
_atom_site_occupancy
Mn1 Mn 0.000 0.074 0.250 1
Pd1 Pd 0.170 0.242 0.750 1
Pt1 Pt 0.000 0.341 0.250 1
Pt2 Pt 0.226 0.500 0.000 1

(i) is the most stable structure; the next one sits 0.074 eV/atom above it.

(i)
# MnPdPt4, relaxed, DFT PBE-GGA
# calculated volume = 15.40 Å³/atom
data_MnPdPt4
_chemical_formula_sum 'Mn2 Pd2 Pt8'
_cell_length_a 4.832
_cell_length_b 5.585
_cell_length_c 7.045
_cell_angle_alpha 90.00
_cell_angle_beta 103.63
_cell_angle_gamma 90.00
_space_group_name_H-M_alt 'P 1 21/m 1'
_space_group_IT_number 11
loop_
_space_group_symop_operation_xyz
'x,y,z'
'-x,-y,-z'
'-x,y+1/2,-z'
'x,-y+1/2,z'
loop_
_atom_site_label
_atom_site_type_symbol
_atom_site_fract_x
_atom_site_fract_y
_atom_site_fract_z
_atom_site_occupancy
Mn1 Mn 0.221 0.250 0.161 1
Pd1 Pd 0.217 0.750 0.162 1
Pt1 Pt 0.005 0.250 0.497 1
Pt2 Pt 0.282 0.503 0.833 1
Pt3 Pt 0.500 0.000 0.500 1

(ii)
# MnPdPt4, relaxed, DFT PBE-GGA
# calculated volume = 15.38 Å³/atom
data_MnPdPt4
_chemical_formula_sum 'Mn4 Pd4 Pt16'
_cell_length_a 9.649
_cell_length_b 5.572
_cell_length_c 6.867
_cell_angle_alpha 90.00
_cell_angle_beta 90.62
_cell_angle_gamma 90.00
_space_group_name_H-M_alt 'C 1 2/m 1'
_space_group_IT_number 12
loop_
_space_group_symop_operation_xyz
'x,y,z'
'-x,-y,-z'
'-x,y,-z'
'x,-y,z'
'x+1/2,y+1/2,z'
'-x+1/2,-y+1/2,-z'
'-x+1/2,y+1/2,-z'
'x+1/2,-y+1/2,z'
loop_
_atom_site_label
_atom_site_type_symbol
_atom_site_fract_x
_atom_site_fract_y
_atom_site_fract_z
_atom_site_occupancy
Mn1 Mn 0.089 0.000 0.329 1
Pd1 Pd 0.086 0.500 0.337 1
Pt1 Pt 0.000 0.249 0.000 1
Pt2 Pt 0.162 0.246 0.663 1
Pt3 Pt 0.249 0.000 0.001 1

(ii) is the most stable structure; the next one sits 0.009 eV/atom above it.

(i)
# MnPd6Pt, relaxed, DFT PBE-GGA
# calculated volume = 15.31 Å³/atom
data_MnPd6Pt
_chemical_formula_sum 'Mn2 Pd12 Pt2'
_cell_length_a 7.856
_cell_length_b 7.866
_cell_length_c 3.964
_cell_angle_alpha 90.00
_cell_angle_beta 90.00
_cell_angle_gamma 90.00
_space_group_name_H-M_alt 'C m m m'
_space_group_IT_number 65
_space_group_name_Hall '-C 2 2'
loop_
_atom_site_label
_atom_site_type_symbol
_atom_site_fract_x
_atom_site_fract_y
_atom_site_fract_z
_atom_site_occupancy
Mn1 Mn 0.000 0.000 0.000 1
Pd1 Pd 0.000 0.248 0.500 1
Pd2 Pd 0.248 0.000 0.500 1
Pd3 Pd 0.250 0.250 0.000 1
Pt1 Pt 0.000 0.500 0.000 1

(ii)
# MnPd6Pt, relaxed, DFT PBE-GGA
# calculated volume = 19.68 Å³/atom
data_MnPd6Pt
_chemical_formula_sum 'Mn3 Pd18 Pt3'
_cell_length_a 5.2456
_cell_length_b 5.2456
_cell_length_c 19.8199
_cell_angle_alpha 90.00
_cell_angle_beta 90.00
_cell_angle_gamma 120.00
_space_group_name_H-M_alt 'R -3 m'
_space_group_IT_number 166
_space_group_name_Hall '-R 3 2"'
loop_
_atom_site_label
_atom_site_type_symbol
_atom_site_fract_x
_atom_site_fract_y
_atom_site_fract_z
_atom_site_occupancy
Mn1 Mn 0.0000 0.0000 0.0000 1
Pd1 Pd 0.0035 0.5017 0.4335 1
Pt1 Pt 0.0000 0.0000 0.5000 1

(i) is the most stable structure; the next one sits 0.565 eV/atom above it.

(i)
# MnPd8Pt2, relaxed, DFT PBE-GGA
# calculated volume = 16.31 Å³/atom
data_MnPd8Pt2
_chemical_formula_sum 'Mn2 Pd16 Pt4'
_cell_length_a 7.266
_cell_length_b 12.243
_cell_length_c 4.860
_cell_angle_alpha 90.00
_cell_angle_beta 123.92
_cell_angle_gamma 90.00
_space_group_name_H-M_alt 'C 1 2/m 1'
_space_group_IT_number 12
loop_
_space_group_symop_operation_xyz
'x,y,z'
'-x,-y,-z'
'-x,y,-z'
'x,-y,z'
'x+1/2,y+1/2,z'
'-x+1/2,-y+1/2,-z'
'-x+1/2,y+1/2,-z'
'x+1/2,-y+1/2,z'
loop_
_atom_site_label
_atom_site_type_symbol
_atom_site_fract_x
_atom_site_fract_y
_atom_site_fract_z
_atom_site_occupancy
Mn1 Mn 0.000 0.000 0.000 1
Pd1 Pd 0.000 0.212 0.000 1
Pd2 Pd 0.103 0.500 0.821 1
Pd3 Pd 0.212 0.112 0.620 1
Pt1 Pt 0.000 0.306 0.500 1

(ii)
# MnPd8Pt2, relaxed, DFT PBE-GGA
# calculated volume = 15.29 Å³/atom
data_MnPd8Pt2
_chemical_formula_sum 'Mn2 Pd16 Pt4'
_cell_length_a 14.185
_cell_length_b 3.949
_cell_length_c 6.228
_cell_angle_alpha 90.00
_cell_angle_beta 105.32
_cell_angle_gamma 90.00
_space_group_name_H-M_alt 'C 1 2/m 1'
_space_group_IT_number 12
loop_
_space_group_symop_operation_xyz
'x,y,z'
'-x,-y,-z'
'-x,y,-z'
'x,-y,z'
'x+1/2,y+1/2,z'
'-x+1/2,-y+1/2,-z'
'-x+1/2,y+1/2,-z'
'x+1/2,-y+1/2,z'
loop_
_atom_site_label
_atom_site_type_symbol
_atom_site_fract_x
_atom_site_fract_y
_atom_site_fract_z
_atom_site_occupancy
Mn1 Mn 0.000 0.000 0.000 1
Pd1 Pd 0.045 0.500 0.730 1
Pd2 Pd 0.090 0.000 0.448 1
Pd3 Pd 0.134 0.500 0.178 1
Pd4 Pd 0.181 0.000 0.909 1
Pt1 Pt 0.225 0.500 0.633 1

(ii) is the most stable structure; the next one sits 0.234 eV/atom above it.

(i)
# MnPd2Pt6, relaxed, DFT PBE-GGA
# calculated volume = 15.64 Å³/atom
data_MnPd2Pt6
_chemical_formula_sum 'Mn1 Pd2 Pt6'
_cell_length_a 7.7153
_cell_length_b 7.7153
_cell_length_c 2.7305
_cell_angle_alpha 90.00
_cell_angle_beta 90.00
_cell_angle_gamma 120.00
_space_group_name_H-M_alt 'P -3 1 m'
_space_group_IT_number 162
_space_group_name_Hall '-P 3 2'
loop_
_atom_site_label
_atom_site_type_symbol
_atom_site_fract_x
_atom_site_fract_y
_atom_site_fract_z
_atom_site_occupancy
Mn1 Mn 0.0000 0.0000 0.0000 1
Pd1 Pd 0.3333 0.6667 0.5000 1
Pt1 Pt 0.0000 0.3260 0.2278 1

(ii)
# MnPd2Pt6, relaxed, DFT PBE-GGA
# calculated volume = 15.97 Å³/atom
data_MnPd2Pt6
_chemical_formula_sum 'Mn4 Pd8 Pt24'
_cell_length_a 11.508
_cell_length_b 6.786
_cell_length_c 8.938
_cell_angle_alpha 90.00
_cell_angle_beta 124.52
_cell_angle_gamma 90.00
_space_group_name_H-M_alt 'C 1 2/c 1'
_space_group_IT_number 15
loop_
_space_group_symop_operation_xyz
'x,y,z'
'-x,-y,-z'
'-x,y,-z+1/2'
'x,-y,z+1/2'
'x+1/2,y+1/2,z'
'-x+1/2,-y+1/2,-z'
'-x+1/2,y+1/2,-z+1/2'
'x+1/2,-y+1/2,z+1/2'
loop_
_atom_site_label
_atom_site_type_symbol
_atom_site_fract_x
_atom_site_fract_y
_atom_site_fract_z
_atom_site_occupancy
Mn1 Mn 0.000 0.039 0.250 1
Pd1 Pd 0.074 0.349 0.150 1
Pt1 Pt 0.139 0.291 0.823 1
Pt2 Pt 0.140 0.032 0.596 1
Pt3 Pt 0.211 0.406 0.555 1

(i) is the most stable structure; the next one sits 0.044 eV/atom above it.